The following is a PBE-GGA calculation of an optimized crystal structure of AgOsPt2, from Alexandria via LeMat-Bulk.

abc: 2.763 3.968 5.757
angles: 90.00 90.00 90.00
Positions (direct):
Ag: 0.000 0.000 0.498
Pt: 0.000 0.000 0.981
Pt: 0.500 0.500 0.247
Os: 0.500 0.500 0.774

## Properties
E above lowest polymorph (meV/atom): 233
Energy of formation (eV/atom): 0.317
Theoretical density (Mg/m³): 18.11